--- w ---
A crystal of Zn2NiW relaxed with PBEsol, computed with meta-GGA SCAN.

CIF file:
```
data_Zn2NiW
_cell_length_a 8.5714
_cell_length_b 2.6255
_cell_length_c 4.7910
_cell_angle_alpha 90.00
_cell_angle_beta 99.01
_cell_angle_gamma 90.00
_space_group_name_H-M_alt 'C 1 m 1'
_space_group_IT_number 8
_space_group_name_Hall 'C -2y'
loop_
_atom_site_label
_atom_site_type_symbol
_atom_site_fract_x
_atom_site_fract_y
_atom_site_fract_z
_atom_site_occupancy
Zn1 Zn 0.0000 0.0000 0.0000 1
Zn2 Zn 0.2481 0.0000 0.7829 1
Ni1 Ni 0.2418 0.5000 0.2834 1
W1 W 0.4910 0.0000 0.4884 1
```

## Properties
N(E_F) (states/eV/f.u.): 2.3

--- x ---
A crystal of Zn2NiW relaxed with PBEsol, computed with meta-GGA SCAN.

CIF file:
```
data_Zn2NiW
_cell_length_a 3.7949
_cell_length_b 3.7949
_cell_length_c 7.2819
_cell_angle_alpha 90.00
_cell_angle_beta 90.00
_cell_angle_gamma 90.00
_space_group_name_H-M_alt 'I -4 m 2'
_space_group_IT_number 119
_space_group_name_Hall 'I -4 -2'
loop_
_atom_site_label
_atom_site_type_symbol
_atom_site_fract_x
_atom_site_fract_y
_atom_site_fract_z
_atom_site_occupancy
Zn1 Zn 0.0000 0.0000 0.0000 1
Zn2 Zn 0.0000 0.5000 0.2500 1
Ni1 Ni 0.0000 0.0000 0.5000 1
W1 W 0.0000 0.5000 0.7500 1
```

## Properties
N(E_F) (states/eV/f.u.): 2.7

Verdict on stability: x comes out at the bottom.

--- w ---
A crystal of ZrNiW relaxed with PBEsol, computed with meta-GGA SCAN.

CIF file:
```
data_ZrNiW
_cell_length_a 6.0926
_cell_length_b 6.0926
_cell_length_c 6.0926
_cell_angle_alpha 90.00
_cell_angle_beta 90.00
_cell_angle_gamma 90.00
_space_group_name_H-M_alt 'F -4 3 m'
_space_group_IT_number 216
_space_group_name_Hall 'F -4 2 3'
loop_
_atom_site_label
_atom_site_type_symbol
_atom_site_fract_x
_atom_site_fract_y
_atom_site_fract_z
_atom_site_occupancy
Zr1 Zr 0.0000 0.0000 0.0000 1
Ni1 Ni 0.2500 0.2500 0.7500 1
W1 W 0.2500 0.2500 0.2500 1
```

## Properties
N(E_F) (states/eV/f.u.): 2.2

--- x ---
A crystal of ZrNiW relaxed with PBEsol, computed with meta-GGA SCAN.

CIF file:
```
data_ZrNiW
_cell_length_a 4.4837
_cell_length_b 4.4837
_cell_length_c 2.7380
_cell_angle_alpha 90.00
_cell_angle_beta 90.00
_cell_angle_gamma 120.00
_space_group_name_H-M_alt 'P 3 m 1'
_space_group_IT_number 156
_space_group_name_Hall 'P 3 -2"'
loop_
_atom_site_label
_atom_site_type_symbol
_atom_site_fract_x
_atom_site_fract_y
_atom_site_fract_z
_atom_site_occupancy
Zr1 Zr 0.0000 0.0000 0.0000 1
Ni1 Ni 0.3333 0.6667 0.5024 1
W1 W 0.6667 0.3333 0.4987 1
```

## Properties
N(E_F) (states/eV/f.u.): 3.2

Verdict on stability: w comes out at the bottom.

--- w ---
A crystal of ZnNi4 relaxed with PBEsol, computed with meta-GGA SCAN.

CIF file:
```
data_ZnNi4
_cell_length_a 5.5294
_cell_length_b 5.5294
_cell_length_c 3.5144
_cell_angle_alpha 90.00
_cell_angle_beta 90.00
_cell_angle_gamma 90.00
_space_group_name_H-M_alt 'I 4/m'
_space_group_IT_number 87
_space_group_name_Hall '-I 4'
loop_
_atom_site_label
_atom_site_type_symbol
_atom_site_fract_x
_atom_site_fract_y
_atom_site_fract_z
_atom_site_occupancy
Zn1 Zn 0.0000 0.0000 0.0000 1
Ni1 Ni 0.0994 0.3032 0.5000 1
```

## Properties
N(E_F) (states/eV/f.u.): 3.8

--- x ---
A crystal of ZnNi4 relaxed with PBEsol, computed with meta-GGA SCAN.

CIF file:
```
data_ZnNi4
_cell_length_a 2.4936
_cell_length_b 2.4936
_cell_length_c 30.0639
_cell_angle_alpha 90.00
_cell_angle_beta 90.00
_cell_angle_gamma 120.00
_space_group_name_H-M_alt 'R -3 m'
_space_group_IT_number 166
_space_group_name_Hall '-R 3 2"'
loop_
_atom_site_label
_atom_site_type_symbol
_atom_site_fract_x
_atom_site_fract_y
_atom_site_fract_z
_atom_site_occupancy
Zn1 Zn 0.0000 0.0000 0.0000 1
Ni1 Ni 0.0000 0.0000 0.1995 1
Ni2 Ni 0.0000 0.0000 0.4014 1
```

## Properties
N(E_F) (states/eV/f.u.): 4.3

Verdict on stability: x comes out at the bottom.

--- w ---
A crystal of O relaxed with PBEsol, computed with meta-GGA SCAN.

CIF file:
```
data_O
_cell_length_a 4.8406
_cell_length_b 4.8702
_cell_length_c 3.6934
_cell_angle_alpha 90.00
_cell_angle_beta 120.34
_cell_angle_gamma 90.00
_space_group_name_H-M_alt 'C 1 2/m 1'
_space_group_IT_number 12
_space_group_name_Hall '-C 2y'
loop_
_atom_site_label
_atom_site_type_symbol
_atom_site_fract_x
_atom_site_fract_y
_atom_site_fract_z
_atom_site_occupancy
O1 O 0.1345 0.0000 0.1557 1
```

## Properties
N(E_F) (states/eV/f.u.): 0.0

--- x ---
A crystal of O relaxed with PBEsol, computed with meta-GGA SCAN.

CIF file:
```
data_O
_cell_length_a 3.8644
_cell_length_b 3.8644
_cell_length_c 3.0733
_cell_angle_alpha 90.00
_cell_angle_beta 90.00
_cell_angle_gamma 120.00
_space_group_name_H-M_alt 'P 31 2 1'
_space_group_IT_number 152
_space_group_name_Hall 'P 31 2"'
loop_
_atom_site_label
_atom_site_type_symbol
_atom_site_fract_x
_atom_site_fract_y
_atom_site_fract_z
_atom_site_occupancy
O1 O 0.0000 0.1491 0.1667 1
```

## Properties
N(E_F) (states/eV/f.u.): 0.0

Verdict on stability: x comes out at the bottom.

--- w ---
A crystal of O relaxed with PBEsol, computed with meta-GGA SCAN.

CIF file:
```
data_O
_cell_length_a 4.2159
_cell_length_b 4.1256
_cell_length_c 3.0138
_cell_angle_alpha 90.00
_cell_angle_beta 108.42
_cell_angle_gamma 90.00
_space_group_name_H-M_alt 'P 1 2/c 1'
_space_group_IT_number 13
_space_group_name_Hall '-P 2yc'
loop_
_atom_site_label
_atom_site_type_symbol
_atom_site_fract_x
_atom_site_fract_y
_atom_site_fract_z
_atom_site_occupancy
O1 O 0.1531 0.1764 0.3177 1
```

--- x ---
A crystal of O relaxed with PBEsol, computed with meta-GGA SCAN.

CIF file:
```
data_O
_cell_length_a 3.4160
_cell_length_b 3.4160
_cell_length_c 11.2783
_cell_angle_alpha 90.00
_cell_angle_beta 90.00
_cell_angle_gamma 120.00
_space_group_name_H-M_alt 'R -3 m'
_space_group_IT_number 166
_space_group_name_Hall '-R 3 2"'
loop_
_atom_site_label
_atom_site_type_symbol
_atom_site_fract_x
_atom_site_fract_y
_atom_site_fract_z
_atom_site_occupancy
O1 O 0.0000 0.0000 0.0544 1
```

## Properties
N(E_F) (states/eV/f.u.): 0.0

Verdict on stability: w comes out at the bottom.

--- w ---
A crystal of P2O5 relaxed with PBEsol, computed with meta-GGA SCAN.

CIF file:
```
data_P2O5
_cell_length_a 9.3300
_cell_length_b 4.9071
_cell_length_c 7.2605
_cell_angle_alpha 90.00
_cell_angle_beta 90.00
_cell_angle_gamma 90.00
_space_group_name_H-M_alt 'P n m a'
_space_group_IT_number 62
_space_group_name_Hall '-P 2ac 2n'
loop_
_atom_site_label
_atom_site_type_symbol
_atom_site_fract_x
_atom_site_fract_y
_atom_site_fract_z
_atom_site_occupancy
P1 P 0.0998 0.2500 0.1473 1
P2 P 0.2454 0.7500 0.2844 1
O1 O 0.0497 0.7500 0.9138 1
O2 O 0.1353 0.2500 0.6561 1
O3 O 0.1388 0.0016 0.2760 1
O4 O 0.2241 0.2500 0.9997 1
```

## Properties
N(E_F) (states/eV/f.u.): 0.0

--- x ---
A crystal of P2O5 relaxed with PBEsol, computed with meta-GGA SCAN.

CIF file:
```
data_P2O5
_cell_length_a 10.7119
_cell_length_b 10.7119
_cell_length_c 13.6128
_cell_angle_alpha 90.00
_cell_angle_beta 90.00
_cell_angle_gamma 120.00
_space_group_name_H-M_alt 'R 3 c'
_space_group_IT_number 161
_space_group_name_Hall 'R 3 -2"c'
loop_
_atom_site_label
_atom_site_type_symbol
_atom_site_fract_x
_atom_site_fract_y
_atom_site_fract_z
_atom_site_occupancy
P1 P 0.0000 0.0000 0.0000 1
P2 P 0.0358 0.1666 0.1692 1
O1 O 0.0000 0.0000 0.3937 1
O2 O 0.0271 0.4259 0.8712 1
O3 O 0.0332 0.1488 0.0516 1
O4 O 0.1484 0.0319 0.7021 1
```

## Properties
N(E_F) (states/eV/f.u.): 0.0

Verdict on stability: x comes out at the bottom.

--- w ---
A crystal of ScP2PbO relaxed with PBEsol, computed with meta-GGA SCAN.

CIF file:
```
data_ScP2PbO
_cell_length_a 5.0748
_cell_length_b 5.0748
_cell_length_c 4.1119
_cell_angle_alpha 90.00
_cell_angle_beta 90.00
_cell_angle_gamma 90.00
_space_group_name_H-M_alt 'P 4/m m m'
_space_group_IT_number 123
_space_group_name_Hall '-P 4 2'
loop_
_atom_site_label
_atom_site_type_symbol
_atom_site_fract_x
_atom_site_fract_y
_atom_site_fract_z
_atom_site_occupancy
Sc1 Sc 0.0000 0.0000 0.0000 1
P1 P 0.0000 0.5000 0.5000 1
Pb1 Pb 0.5000 0.5000 0.5000 1
O1 O 0.5000 0.5000 0.0000 1
```

## Properties
N(E_F) (states/eV/f.u.): 4.0

--- x ---
A crystal of ScP2PbO relaxed with PBEsol, computed with meta-GGA SCAN.

CIF file:
```
data_ScP2PbO
_cell_length_a 5.1453
_cell_length_b 5.1453
_cell_length_c 3.8583
_cell_angle_alpha 90.00
_cell_angle_beta 90.00
_cell_angle_gamma 90.00
_space_group_name_H-M_alt 'P 4/m m m'
_space_group_IT_number 123
_space_group_name_Hall '-P 4 2'
loop_
_atom_site_label
_atom_site_type_symbol
_atom_site_fract_x
_atom_site_fract_y
_atom_site_fract_z
_atom_site_occupancy
Sc1 Sc 0.0000 0.0000 0.0000 1
P1 P 0.0000 0.5000 0.0000 1
Pb1 Pb 0.5000 0.5000 0.5000 1
O1 O 0.0000 0.0000 0.5000 1
```

## Properties
N(E_F) (states/eV/f.u.): 4.1

Verdict on stability: w comes out at the bottom.

--- w ---
A crystal of YP2PdO relaxed with PBEsol, computed with meta-GGA SCAN.

CIF file:
```
data_YP2PdO
_cell_length_a 5.2598
_cell_length_b 5.2598
_cell_length_c 4.0045
_cell_angle_alpha 90.00
_cell_angle_beta 90.00
_cell_angle_gamma 90.00
_space_group_name_H-M_alt 'P 4/m m m'
_space_group_IT_number 123
_space_group_name_Hall '-P 4 2'
loop_
_atom_site_label
_atom_site_type_symbol
_atom_site_fract_x
_atom_site_fract_y
_atom_site_fract_z
_atom_site_occupancy
Y1 Y 0.0000 0.0000 0.0000 1
P1 P 0.0000 0.5000 0.0000 1
Pd1 Pd 0.5000 0.5000 0.5000 1
O1 O 0.0000 0.0000 0.5000 1
```

## Properties
N(E_F) (states/eV/f.u.): 4.5

--- x ---
A crystal of YP2PdO relaxed with PBEsol, computed with meta-GGA SCAN.

CIF file:
```
data_YP2PdO
_cell_length_a 4.6508
_cell_length_b 4.6508
_cell_length_c 3.9652
_cell_angle_alpha 90.00
_cell_angle_beta 90.00
_cell_angle_gamma 90.00
_space_group_name_H-M_alt 'P 4/m m m'
_space_group_IT_number 123
_space_group_name_Hall '-P 4 2'
loop_
_atom_site_label
_atom_site_type_symbol
_atom_site_fract_x
_atom_site_fract_y
_atom_site_fract_z
_atom_site_occupancy
Y1 Y 0.0000 0.0000 0.0000 1
P1 P 0.0000 0.5000 0.5000 1
Pd1 Pd 0.5000 0.5000 0.5000 1
O1 O 0.5000 0.5000 0.0000 1
```

## Properties
N(E_F) (states/eV/f.u.): 3.3

Verdict on stability: w comes out at the bottom.